FeH3S | PBE | relaxed

```
5
Lattice="3.4095 0.0000 0.0000 0.0000 3.4095 0.0000 0.0000 0.0000 3.4095" Properties=species:S:1:pos:R:3 pbc="T T T"
H 0.0000 1.7047 0.0000
H 0.0000 0.0000 1.7047
H 1.7047 0.0000 0.0000
S 0.0000 0.0000 0.0000
Fe 1.7047 1.7047 1.7047
```

Properties
**Mass density**: 3.81 g/cm³
**Final energy**: -17.35 eV per cell
**Space-group type**: Pm-3m (221)
**Total moment**: 2.98 μB per formula unit